No. 1
This record from Alexandria describes a relaxed La3Pm2Y6Er crystal. The functional is PBE.

Properties
Energy relative to the elements   0.01 eV per atom

Lattice parameters (Å, degrees): 6.285 6.285 11.923 95.03 95.03 120.01
Atoms (fractional coordinates):
Y1 0.251 0.251 0.753
Pm1 0.334 0.666 0.000
La1 0.500 0.500 0.500
La2 0.833 0.167 0.500
Y2 0.415 0.082 0.246
Er1 0.000 0.000 0.000
Y3 0.585 0.918 0.754
Y4 0.918 0.585 0.754
Y5 0.749 0.749 0.247
Y6 0.082 0.415 0.246
La3 0.167 0.833 0.500
Pm2 0.666 0.334 0.000



No. 2
This record from Alexandria describes a relaxed Fe4NiIr5 crystal. The functional is PBE.

Properties
Energy relative to the elements   -0.02 eV per atom

Lattice parameters (Å, degrees): 2.695 5.914 9.441 110.21 81.80 76.83
Last column: magnetic moment on the atom in μB.
Atoms (fractional coordinates):
Ir1 0.199 0.901 0.701  0.13
Ir2 0.401 0.299 0.898  0.15
Ir3 0.801 0.099 0.299  0.13
Fe1 0.201 0.400 0.198  2.68
Fe2 0.398 0.803 0.402  2.58
Fe3 0.602 0.197 0.598  2.58
Ir4 0.599 0.701 0.102  0.15
Fe4 0.799 0.600 0.802  2.68
Ir5 0.000 0.500 0.500  0.15
Ni1 0.000 0.000 0.000  0.45



No. 3
This record from Alexandria describes a relaxed CsNa2InBi crystal. The functional is PBE.

Properties
Energy relative to the elements   -0.06 eV per atom

Lattice parameters (Å, degrees): 6.076 6.076 6.414 90.00 90.00 90.00
Atoms (fractional coordinates):
Bi1 0.000 0.000 0.000
In1 0.000 0.000 0.500
Cs1 0.500 0.500 0.500
Na1 0.500 0.000 0.000
Na2 0.000 0.500 0.000



No. 4
This record from Alexandria describes a relaxed Sr2AlH8 crystal. The functional is PBE.

Properties
E_tot   -3.21 eV/atom

Lattice parameters (Å, degrees): 4.489 6.031 6.031 73.10 70.69 70.69
Atoms (fractional coordinates):
H1 0.300 0.742 0.080
H2 0.700 0.920 0.258
H3 0.031 0.176 0.176
Al1 0.000 0.000 0.000
H4 0.969 0.824 0.824
H5 0.700 0.258 0.920
Sr1 0.612 0.681 0.681
H6 0.804 0.412 0.412
H7 0.196 0.588 0.588
H8 0.300 0.080 0.742
Sr2 0.388 0.319 0.319



No. 5
This record from Alexandria describes a relaxed Zr2PPb2 crystal. The functional is PBE.

Properties
Energy relative to the elements   -0.38 eV per atom

Lattice parameters (Å, degrees): 6.917 6.917 4.962 90.00 90.00 90.00
Atoms (fractional coordinates):
Pb1 0.660 0.840 0.500
Zr1 0.663 0.163 0.000
Pb2 0.160 0.660 0.500
P1 0.000 0.000 0.000
Zr2 0.163 0.337 0.000
Zr3 0.337 0.837 0.000
P2 0.500 0.500 0.000
Zr4 0.837 0.663 0.000
Pb3 0.340 0.160 0.500
Pb4 0.840 0.340 0.500



No. 6
This record from Alexandria describes a relaxed La3SbSeBr crystal. The functional is PBE.

Properties
E_tot   -5.47 eV/atom

Lattice parameters (Å, degrees): 4.321 8.060 11.946 111.98 90.00 90.00
Last column: magnetic moment on the atom in μB.
Atoms (fractional coordinates):
La1 0.750 0.478 0.162  0.04
Br1 0.750 0.854 0.375  0.00
La2 0.250 0.522 0.838  0.04
La3 0.250 0.027 0.860  0.18
Se1 0.750 0.298 0.893  0.00
La4 0.750 0.973 0.140  0.18
La5 0.750 0.291 0.493  -0.06
Se2 0.250 0.702 0.107  0.00
Sb1 0.750 0.698 0.704  0.01
Sb2 0.250 0.302 0.296  0.01
Br2 0.250 0.146 0.625  0.00
La6 0.250 0.709 0.507  -0.06



Number 4 is which compound? Sr2AlH8